A geometry-optimized Li2CeCd2Pb2 structure, computed with GGA-PBE.

Summary:
VASP energy ... -63.29 eV/cell
ΔE_f ... -298 meV/atom
Total magnetic moment ... 0.12 μB per atom

a b c (Å): 4.8044 4.8044 25.4573
angles (deg): 90.00 90.00 120.00
Space group R-3m (No. 166, hexagonal axes)
Inequivalent atoms, fractional coordinates:
1 Li 0.0000 0.0000 0.1445 (multiplicity 6)
2 Ce 0.0000 0.0000 0.0000 (multiplicity 3)
3 Cd 0.0000 0.0000 0.4432 (multiplicity 6)
4 Pb 0.0000 0.0000 0.2663 (multiplicity 6)